(1)
# LaSmEr4Tm2

An optimized crystal structure of LaSmEr4Tm2 (PBE, Alexandria via LeMat-Bulk).

Unit cell a=7.110 b=9.987 c=7.112 alpha=90.00 beta=90.04 gamma=90.00
Fractional coordinates of all 16 atoms:
La: 0.000 0.000 0.000
La: 0.500 0.000 0.000
Sm: 0.000 0.000 0.500
Sm: 0.000 0.500 0.000
Er: 0.252 0.254 0.253
Er: 0.252 0.254 0.747
Er: 0.252 0.746 0.253
Er: 0.252 0.746 0.747
Er: 0.748 0.254 0.253
Er: 0.748 0.254 0.747
Er: 0.748 0.746 0.253
Er: 0.748 0.746 0.747
Tm: 0.000 0.500 0.500
Tm: 0.500 0.000 0.500
Tm: 0.500 0.500 0.000
Tm: 0.500 0.500 0.500

Calculated values
The space group is P2/m, No. 10. The electronic total energy comes out at -73.2 eV/cell. The calculation puts the density of states at the Fermi level at 22.34 states/eV per cell. The crystal system is monoclinic. The calculation puts the formation energy from the elements at 0.027 eV/atom. Its total magnetic moment is 0.000 μB/cell.

***

(2)
# AsOs

An optimized crystal structure of AsOs (PBE, Alexandria via LeMat-Bulk).

Unit cell a=4.736 b=4.736 c=4.736 alpha=129.59 beta=129.59 gamma=74.06
Fractional coordinates of all 4 atoms:
As: 0.375 0.625 0.750
As: 0.625 0.375 0.250
Os: 0.125 0.875 0.250
Os: 0.875 0.125 0.750

Calculated values
The space group is I4_1/amd, No. 141. The electronic total energy comes out at -29.0 eV/cell. The calculation puts the density of states at the Fermi level at 3.14 states/eV per cell. The crystal system is tetragonal. The calculation puts the formation energy from the elements at 0.694 eV/atom. Its total magnetic moment is 0.000 μB/cell.

***

Repeat the first record exactly.
# LaSmEr4Tm2

An optimized crystal structure of LaSmEr4Tm2 (PBE, Alexandria via LeMat-Bulk).

Unit cell a=7.110 b=9.987 c=7.112 alpha=90.00 beta=90.04 gamma=90.00
Fractional coordinates of all 16 atoms:
La: 0.000 0.000 0.000
La: 0.500 0.000 0.000
Sm: 0.000 0.000 0.500
Sm: 0.000 0.500 0.000
Er: 0.252 0.254 0.253
Er: 0.252 0.254 0.747
Er: 0.252 0.746 0.253
Er: 0.252 0.746 0.747
Er: 0.748 0.254 0.253
Er: 0.748 0.254 0.747
Er: 0.748 0.746 0.253
Er: 0.748 0.746 0.747
Tm: 0.000 0.500 0.500
Tm: 0.500 0.000 0.500
Tm: 0.500 0.500 0.000
Tm: 0.500 0.500 0.500

Calculated values
The space group is P2/m, No. 10. The electronic total energy comes out at -73.2 eV/cell. The calculation puts the density of states at the Fermi level at 22.34 states/eV per cell. The crystal system is monoclinic. The calculation puts the formation energy from the elements at 0.027 eV/atom. Its total magnetic moment is 0.000 μB/cell.